LiMn2OF3 | PBE with a Hubbard U | optimized geometry

Lattice parameters (Å, degrees): 8.4323 8.4323 8.4323 136.94 80.19 116.09
Closest atoms and distances in Å follow each position.
Atoms (fractional coordinates):
Li: 0.0813 0.7200 0.3614  3 F 1.98-1.99, 1 O 1.98
Li: 0.1303 0.0000 0.1303  4 F 1.90-2.04
Li: 0.3586 0.7200 0.6386  3 F 1.98-1.99, 1 O 1.98
Li: 0.8697 0.0000 0.8697  4 F 1.90-2.04
Mn: 0.1303 0.3796 0.7507  1 O 2.03, 5 F 2.20-2.23
Mn: 0.3308 0.3308 0.0000  5 F 2.06-2.23, 1 O 2.16
Mn: 0.4982 0.3743 0.6401  3 O 2.08-2.23, 2 F 2.25-2.29
Mn: 0.4982 0.8580 0.1238  3 O 2.08-2.23, 2 F 2.25-2.29
Mn: 0.6289 0.3796 0.2493  1 O 2.03, 5 F 2.20-2.23
Mn: 0.7342 0.3743 0.8762  3 O 2.08-2.23, 2 F 2.25-2.29
Mn: 0.7342 0.8580 0.3599  3 O 2.08-2.23, 2 F 2.25-2.29
Mn: 0.8967 0.3967 0.5000  5 F 2.04-2.22, 1 O 2.17
O: 0.3752 0.6049 0.7703  1 Li 1.98, 3 Mn 2.03-2.08
O: 0.5726 0.5726 0.0000  5 Mn 2.16-2.17
O: 0.6530 0.1530 0.5000  5 Mn 2.17-2.23
O: 0.8347 0.6049 0.2297  1 Li 1.98, 3 Mn 2.03-2.08
F: 0.1001 0.1001 0.0000  2 Li 1.90, 1 Mn 2.06
F: 0.1248 0.6248 0.5000  2 Li 1.98, 1 Mn 2.04
F: 0.2269 0.1099 0.6302  1 Li 1.99, 2 Mn 2.20-2.23
F: 0.2269 0.5967 0.1170  1 Li 1.99, 2 Mn 2.20-2.23
F: 0.3907 0.1306 0.2601  1 Li 2.04, 3 Mn 2.23-2.25
F: 0.4797 0.1099 0.8830  1 Li 1.99, 2 Mn 2.20-2.23
F: 0.4797 0.5967 0.3698  1 Li 1.99, 2 Mn 2.20-2.23
F: 0.7467 0.1307 0.1325  1 Li 1.96
F: 0.7467 0.6142 0.6160  1 Li 1.96
F: 0.8706 0.1306 0.7399  1 Li 2.04, 3 Mn 2.23-2.25
F: 0.9982 0.1307 0.3840  1 Li 1.96
F: 0.9982 0.6142 0.8675  1 Li 1.96

Mass density: 3538 kg/m³
Raw total energy: -6.3126 eV per atom
Space group: Imm2 (44)
Total magnetization: 1.43 μB per atom